The following is a PBE calculation of Ac12Te3C5 after structural relaxation, from Alexandria.

Cell: 15.1672 15.1672 15.1672 Å, 109.47 109.47 109.47°
Last column: nearest neighbours and their distance in Å.
Element x y z (fractional)
1 Te 0.7500 0.3750 0.1250  8 Ac 3.44-3.54
2 Te 0.8750 0.7500 0.1250  8 Ac 3.44-3.54
3 Te 0.3750 0.7500 0.6250  8 Ac 3.44-3.54
4 Te 0.2500 0.1250 0.3750  8 Ac 3.44-3.54
5 Te 0.8750 0.1250 0.2500  8 Ac 3.44-3.54
6 Te 0.3750 0.6250 0.2500  8 Ac 3.44-3.54
7 Te 0.6250 0.3750 0.7500  8 Ac 3.44-3.54
8 Te 0.1250 0.8750 0.7500  8 Ac 3.44-3.54
9 Te 0.7500 0.8750 0.6250  8 Ac 3.44-3.54
10 Te 0.6250 0.2500 0.3750  8 Ac 3.44-3.54
11 Te 0.1250 0.2500 0.8750  8 Ac 3.44-3.54
12 Te 0.2500 0.6250 0.8750  8 Ac 3.44-3.54
13 C 0.1250 0.3750 0.2500  4 Ac 2.54
14 C 0.0000 0.5000 0.0000  6 Ac 2.83
15 C 0.0000 0.0000 0.0000  6 Ac 2.83
16 C 0.3750 0.2500 0.1250  4 Ac 2.54
17 C 0.5000 0.0000 0.5000  6 Ac 2.83
18 C 0.5000 0.5000 0.0000  6 Ac 2.83
19 C 0.1250 0.7500 0.3750  4 Ac 2.54
20 C 0.7500 0.1250 0.8750  4 Ac 2.54
21 C 0.7500 0.6250 0.3750  4 Ac 2.54
22 C 0.3750 0.1250 0.7500  4 Ac 2.54
23 C 0.6250 0.8750 0.2500  4 Ac 2.54
24 C 0.5000 0.5000 0.5000  6 Ac 2.83
25 C 0.5000 0.0000 0.0000  6 Ac 2.83
26 C 0.0000 0.0000 0.5000  6 Ac 2.83
27 C 0.2500 0.3750 0.6250  4 Ac 2.54
28 C 0.2500 0.8750 0.1250  4 Ac 2.54
29 C 0.0000 0.5000 0.5000  6 Ac 2.83
30 C 0.8750 0.2500 0.6250  4 Ac 2.54
31 C 0.6250 0.7500 0.8750  4 Ac 2.54
32 C 0.8750 0.6250 0.7500  4 Ac 2.54
33 Ac 0.7009 0.1134 0.0170  2 C 2.54-2.83
34 Ac 0.3161 0.5170 0.4036  2 C 2.54-2.83
35 Ac 0.9830 0.3866 0.2991  2 C 2.54-2.83
36 Ac 0.5170 0.2009 0.1134  2 C 2.54-2.83
37 Ac 0.5875 0.7009 0.6839  2 C 2.54-2.83
38 Ac 0.9830 0.5964 0.1839  2 C 2.54-2.83
39 Ac 0.3161 0.7991 0.4125  2 C 2.54-2.83
40 Ac 0.0964 0.9125 0.1134  2 C 2.54-2.83
41 Ac 0.5964 0.9830 0.6839  2 C 2.54-2.83
42 Ac 0.7009 0.5875 0.1839  2 C 2.54-2.83
43 Ac 0.7991 0.4830 0.3866  2 C 2.54-2.83
44 Ac 0.8161 0.9036 0.0170  2 C 2.54-2.83
45 Ac 0.1134 0.7009 0.5170  2 C 2.54-2.83
46 Ac 0.3866 0.4036 0.0875  2 C 2.54-2.83
47 Ac 0.0875 0.9036 0.3866  2 C 2.54-2.83
48 Ac 0.4125 0.1134 0.5964  2 C 2.54-2.83
49 Ac 0.0875 0.1839 0.2009  2 C 2.54-2.83
50 Ac 0.4830 0.6839 0.0964  2 C 2.54-2.83
51 Ac 0.8161 0.9125 0.2991  2 C 2.54-2.83
52 Ac 0.1134 0.4125 0.0964  2 C 2.54-2.83
53 Ac 0.3866 0.9830 0.7991  2 C 2.54-2.83
54 Ac 0.5964 0.6134 0.4125  2 C 2.54-2.83
55 Ac 0.9036 0.8161 0.5170  2 C 2.54-2.83
56 Ac 0.7991 0.3161 0.9125  2 C 2.54-2.83
57 Ac 0.4036 0.3866 0.5875  2 C 2.54-2.83
58 Ac 0.0964 0.1839 0.4830  2 C 2.54-2.83
59 Ac 0.2009 0.6839 0.0875  2 C 2.54-2.83
60 Ac 0.1839 0.0875 0.7009  2 C 2.54-2.83
61 Ac 0.6134 0.0170 0.2009  2 C 2.54-2.83
62 Ac 0.8866 0.5875 0.9036  2 C 2.54-2.83
63 Ac 0.5170 0.3161 0.9036  2 C 2.54-2.83
64 Ac 0.5875 0.8866 0.4036  2 C 2.54-2.83
65 Ac 0.9125 0.8161 0.7991  2 C 2.54-2.83
66 Ac 0.9125 0.0964 0.6134  2 C 2.54-2.83
67 Ac 0.8866 0.2991 0.4830  2 C 2.54-2.83
68 Ac 0.1839 0.0964 0.9830  2 C 2.54-2.83
69 Ac 0.6134 0.5964 0.9125  2 C 2.54-2.83
70 Ac 0.4036 0.0170 0.3161  2 C 2.54-2.83
71 Ac 0.2991 0.4125 0.8161  2 C 2.54-2.83
72 Ac 0.2009 0.5170 0.6134  2 C 2.54-2.83
73 Ac 0.9036 0.0875 0.8866  2 C 2.54-2.83
74 Ac 0.6839 0.2009 0.5875  2 C 2.54-2.83
75 Ac 0.4830 0.7991 0.8866  2 C 2.54-2.83
76 Ac 0.0170 0.4036 0.8161  2 C 2.54-2.83
77 Ac 0.4125 0.2991 0.3161  2 C 2.54-2.83
78 Ac 0.0170 0.6134 0.7009  2 C 2.54-2.83
79 Ac 0.6839 0.4830 0.5964  2 C 2.54-2.83
80 Ac 0.2991 0.8866 0.9830  2 C 2.54-2.83

raw total energy: -5.46 eV per atom
V: 2686.0 Å³/cell
symmetry: No. 230
crystal system: cubic

The following is a PBE calculation of GeAsP after structural relaxation, from Alexandria.

Cell: 5.0250 5.0821 6.9689 Å, 108.78 110.97 91.71°
Last column: nearest neighbours and their distance in Å.
Element x y z (fractional)
1 Ge 0.3427 0.6320 0.6448  1 P 2.39, 2 As 2.46-2.53, 1 Ge 2.52
2 Ge 0.8832 0.6928 0.3715  1 P 2.46, 1 Ge 2.52, 1 As 2.55
3 As 0.6554 0.1003 0.9050  2 P 2.39-2.40, 1 Ge 2.53
4 As 0.5664 0.3294 0.4120  1 P 2.35, 2 Ge 2.46-2.55
5 P 0.8670 0.1280 0.6522  1 P 2.24, 2 As 2.35-2.40, 1 Ge 2.46
6 P 0.2956 0.3980 0.8808  1 P 2.24, 1 As 2.39, 1 Ge 2.39

energy relative to the elements: 74 meV per atom
raw total energy: -4.82 eV per atom
V: 155.2 Å³/cell
symmetry: No. 1
relative energy among the computed polymorphs: 22 kJ/mol of formula units
crystal system: triclinic

The following is a PBE calculation of Ti6Fe5Si after structural relaxation, from Alexandria.

Cell: 4.2096 5.9972 7.3014 Å, 114.25 106.75 90.00°
Last column: nearest neighbours and their distance in Å.
Element x y z (fractional)
1 Si 0.0000 0.0000 0.0000  8 Ti 2.62-2.63
2 Fe 0.3381 0.8381 0.6762  8 Ti 2.57-2.60
3 Fe 0.6685 0.6685 0.3370  8 Ti 2.55-2.57
4 Fe 0.0000 0.5000 0.0000  8 Ti 2.55-2.60
5 Fe 0.3315 0.3315 0.6630  8 Ti 2.55-2.57
6 Fe 0.6619 0.1619 0.3238  8 Ti 2.57-2.60
7 Ti 0.1699 0.4239 0.3399  7 Fe 2.55-2.60, 1 Si 2.63
8 Ti 0.1699 0.9159 0.3399  7 Fe 2.55-2.60, 1 Si 2.63
9 Ti 0.5000 0.2599 0.0000  6 Fe 2.55-2.57, 2 Si 2.62
10 Ti 0.5000 0.7402 0.0000  6 Fe 2.55-2.57, 2 Si 2.62
11 Ti 0.8301 0.0841 0.6601  7 Fe 2.55-2.60, 1 Si 2.63
12 Ti 0.8301 0.5761 0.6601  7 Fe 2.55-2.60, 1 Si 2.63

raw total energy: -8.33 eV per atom
V: 159.4 Å³/cell
symmetry: No. 71
crystal system: orthorhombic